(1)
# PBE-GGA BC, optimized geometry
# - Formation enthalpy at 0 K: 0.42 eV/atom
# - Energy above the lowest structure with this stoichiometry: 270.9 meV/atom
# - Raw total energy: -90.35 eV per cell
data_BC
_chemical_formula_sum 'B6 C6'
_symmetry_space_group_name_H-M 'P 3 m 1'
_symmetry_Int_Tables_number 156
_symmetry_space_group_name_Hall 'P 3 -2"'
_cell_length_a 2.5700
_cell_length_b 2.5700
_cell_length_c 14.0227
_cell_angle_alpha 90.00
_cell_angle_beta 90.00
_cell_angle_gamma 120.00
loop_
_atom_site_label
_atom_site_type_symbol
_atom_site_fract_x
_atom_site_fract_y
_atom_site_fract_z
B1 B 0.0000 0.0000 0.0000
B2 B 0.0000 0.0000 0.1209
B3 B 0.0000 0.0000 0.6178
B4 B 0.3333 0.6667 0.1984
B5 B 0.3333 0.6667 0.6924
B6 B 0.6667 0.3333 0.4633
C1 C 0.0000 0.0000 0.5090
C2 C 0.3333 0.6667 0.3116
C3 C 0.3333 0.6667 0.8052
C4 C 0.6667 0.3333 0.3459
C5 C 0.6667 0.3333 0.8434
C6 C 0.6667 0.3333 0.9510

(2)
# PBE-GGA B3C2, optimized geometry
# - Formation enthalpy at 0 K: 0.44 eV/atom
# - Energy above the lowest structure with this stoichiometry: 227.6 meV/atom
# - Raw total energy: -217.72 eV per cell
data_B3C2
_chemical_formula_sum 'B18 C12'
_symmetry_space_group_name_H-M 'R 3 m'
_symmetry_Int_Tables_number 160
_symmetry_space_group_name_Hall 'R 3 -2"'
_cell_length_a 2.6640
_cell_length_b 2.6640
_cell_length_c 38.6365
_cell_angle_alpha 90.00
_cell_angle_beta 90.00
_cell_angle_gamma 120.00
loop_
_atom_site_label
_atom_site_type_symbol
_atom_site_fract_x
_atom_site_fract_y
_atom_site_fract_z
B1 B 0.0000 0.0000 0.0000
B2 B 0.0000 0.0000 0.0459
B3 B 0.0000 0.0000 0.2493
B4 B 0.0000 0.0000 0.4761
B5 B 0.0000 0.0000 0.6409
B6 B 0.0000 0.0000 0.8572
C1 C 0.0000 0.0000 0.2084
C2 C 0.0000 0.0000 0.3808
C3 C 0.0000 0.0000 0.6012
C4 C 0.0000 0.0000 0.8138

(3)
# PBE-GGA B7C5, optimized geometry
# - Formation enthalpy at 0 K: 0.49 eV/atom
# - Energy above the lowest structure with this stoichiometry: 325.4 meV/atom
# - Raw total energy: -86.98 eV per cell
data_B7C5
_chemical_formula_sum 'B7 C5'
_symmetry_space_group_name_H-M 'P 1 m 1'
_symmetry_Int_Tables_number 6
_symmetry_space_group_name_Hall 'P -2y'
_cell_length_a 4.5122
_cell_length_b 2.6792
_cell_length_c 7.0547
_cell_angle_alpha 90.00
_cell_angle_beta 92.31
_cell_angle_gamma 90.00
loop_
_atom_site_label
_atom_site_type_symbol
_atom_site_fract_x
_atom_site_fract_y
_atom_site_fract_z
B1 B 0.0000 0.0000 0.0000
B2 B 0.0242 0.5000 0.8577
B3 B 0.0651 0.0000 0.2507
B4 B 0.2980 0.0000 0.8683
B5 B 0.4366 0.0000 0.6431
B6 B 0.5920 0.5000 0.2567
B7 B 0.7683 0.5000 0.0392
C1 C 0.2488 0.5000 0.5389
C2 C 0.2519 0.5000 0.3328
C3 C 0.7487 0.0000 0.3558
C4 C 0.7707 0.0000 0.5664
C5 C 0.9444 0.5000 0.6316

(4)
# PBE-GGA BC, optimized geometry
# - Formation enthalpy at 0 K: 0.40 eV/atom
# - Energy above the lowest structure with this stoichiometry: 249.7 meV/atom
# - Raw total energy: -90.60 eV per cell
data_BC
_chemical_formula_sum 'B6 C6'
_symmetry_space_group_name_H-M 'P 1'
_symmetry_Int_Tables_number 1
_symmetry_space_group_name_Hall 'P 1'
_cell_length_a 3.7550
_cell_length_b 3.9512
_cell_length_c 5.8959
_cell_angle_alpha 109.46
_cell_angle_beta 93.32
_cell_angle_gamma 90.85
loop_
_atom_site_label
_atom_site_type_symbol
_atom_site_fract_x
_atom_site_fract_y
_atom_site_fract_z
B1 B 0.0000 0.0000 0.0000
B2 B 0.0124 0.7795 0.3789
B3 B 0.1705 0.4902 0.5079
B4 B 0.3774 0.8862 0.7248
B5 B 0.6803 0.4572 0.2558
B6 B 0.7491 0.1209 0.5096
C1 C 0.1987 0.2590 0.8785
C2 C 0.2351 0.8889 0.1938
C3 C 0.4485 0.2155 0.3589
C4 C 0.4683 0.5690 0.0389
C5 C 0.6840 0.7160 0.8684
C6 C 0.9471 0.4169 0.7287

(5)
# PBE-GGA B7C5, optimized geometry
# - Formation enthalpy at 0 K: 0.38 eV/atom
# - Energy above the lowest structure with this stoichiometry: 214.5 meV/atom
# - Raw total energy: -176.63 eV per cell
data_B7C5
_chemical_formula_sum 'B14 C10'
_symmetry_space_group_name_H-M 'C 1 m 1'
_symmetry_Int_Tables_number 8
_symmetry_space_group_name_Hall 'C -2y'
_cell_length_a 14.0755
_cell_length_b 2.7064
_cell_length_c 4.6081
_cell_angle_alpha 90.00
_cell_angle_beta 108.91
_cell_angle_gamma 90.00
loop_
_atom_site_label
_atom_site_type_symbol
_atom_site_fract_x
_atom_site_fract_y
_atom_site_fract_z
B1 B 0.0000 0.0000 0.0000
B2 B 0.0061 0.5000 0.5630
B3 B 0.0426 0.5000 0.2246
B4 B 0.1269 0.0000 0.1968
B5 B 0.1388 0.5000 0.6013
B6 B 0.1768 0.5000 0.0089
B7 B 0.3188 0.0000 0.0053
C1 C 0.1935 0.0000 0.5541
C2 C 0.3018 0.5000 0.1607
C3 C 0.3054 0.0000 0.6450
C4 C 0.3422 0.5000 0.5219
C5 C 0.4599 0.5000 0.6397

(6)
# PBE-GGA BC, optimized geometry
# - Formation enthalpy at 0 K: 0.69 eV/atom
# - Energy above the lowest structure with this stoichiometry: 543.5 meV/atom
# - Raw total energy: -87.08 eV per cell
data_BC
_chemical_formula_sum 'B6 C6'
_symmetry_space_group_name_H-M 'P m -3 n'
_symmetry_Int_Tables_number 223
_symmetry_space_group_name_Hall '-P 4n 2 3'
_cell_length_a 4.6238
_cell_length_b 4.6238
_cell_length_c 4.6238
_cell_angle_alpha 90.00
_cell_angle_beta 90.00
_cell_angle_gamma 90.00
loop_
_atom_site_label
_atom_site_type_symbol
_atom_site_fract_x
_atom_site_fract_y
_atom_site_fract_z
B1 B 0.0000 0.2500 0.5000
C1 C 0.0000 0.5000 0.2500

(7)
# PBE-GGA B7C5, optimized geometry
# - Formation enthalpy at 0 K: 0.40 eV/atom
# - Energy above the lowest structure with this stoichiometry: 235.0 meV/atom
# - Raw total energy: -88.07 eV per cell
data_B7C5
_chemical_formula_sum 'B7 C5'
_symmetry_space_group_name_H-M 'P 1 m 1'
_symmetry_Int_Tables_number 6
_symmetry_space_group_name_Hall 'P -2y'
_cell_length_a 4.6432
_cell_length_b 2.6567
_cell_length_c 6.9907
_cell_angle_alpha 90.00
_cell_angle_beta 91.25
_cell_angle_gamma 90.00
loop_
_atom_site_label
_atom_site_type_symbol
_atom_site_fract_x
_atom_site_fract_y
_atom_site_fract_z
B1 B 0.0000 0.0000 0.0000
B2 B 0.0463 0.0000 0.6409
B3 B 0.1876 0.5000 0.3825
B4 B 0.3687 0.0000 0.2509
B5 B 0.4960 0.5000 0.7195
B6 B 0.6800 0.0000 0.5883
B7 B 0.7933 0.5000 0.2577
C1 C 0.1886 0.5000 0.6059
C2 C 0.3442 0.0000 0.0208
C3 C 0.5030 0.5000 0.9485
C4 C 0.7028 0.0000 0.3631
C5 C 0.8220 0.5000 0.0253

(8)
# PBE-GGA BC, optimized geometry
# - Formation enthalpy at 0 K: 0.41 eV/atom
# - Energy above the lowest structure with this stoichiometry: 263.0 meV/atom
# - Raw total energy: -90.44 eV per cell
data_BC
_chemical_formula_sum 'B6 C6'
_symmetry_space_group_name_H-M 'P 1'
_symmetry_Int_Tables_number 1
_symmetry_space_group_name_Hall 'P 1'
_cell_length_a 3.8981
_cell_length_b 4.6606
_cell_length_c 5.3446
_cell_angle_alpha 72.74
_cell_angle_beta 89.08
_cell_angle_gamma 67.55
loop_
_atom_site_label
_atom_site_type_symbol
_atom_site_fract_x
_atom_site_fract_y
_atom_site_fract_z
B1 B 0.0000 0.0000 0.0000
B2 B 0.0497 0.8864 0.5264
B3 B 0.1989 0.3113 0.4315
B4 B 0.4684 0.5813 0.5631
B5 B 0.5834 0.5129 0.1472
B6 B 0.8296 0.5884 0.8824
C1 C 0.2056 0.2475 0.9406
C2 C 0.4157 0.2371 0.1900
C3 C 0.4390 0.2384 0.7048
C4 C 0.7695 0.6000 0.3626
C5 C 0.8141 0.9350 0.2657
C6 C 0.8260 0.9442 0.7621

(9)
# PBE-GGA BC, optimized geometry
# - Formation enthalpy at 0 K: 0.39 eV/atom
# - Energy above the lowest structure with this stoichiometry: 238.6 meV/atom
# - Raw total energy: -181.47 eV per cell
data_BC
_chemical_formula_sum 'B12 C12'
_symmetry_space_group_name_H-M 'C 1 m 1'
_symmetry_Int_Tables_number 8
_symmetry_space_group_name_Hall 'C -2y'
_cell_length_a 12.8314
_cell_length_b 2.6008
_cell_length_c 4.9031
_cell_angle_alpha 90.00
_cell_angle_beta 99.93
_cell_angle_gamma 90.00
loop_
_atom_site_label
_atom_site_type_symbol
_atom_site_fract_x
_atom_site_fract_y
_atom_site_fract_z
B1 B 0.0000 0.0000 0.0000
B2 B 0.0015 0.0000 0.5580
B3 B 0.0927 0.0000 0.3124
B4 B 0.1200 0.0000 0.8810
B5 B 0.1799 0.5000 0.4430
B6 B 0.2830 0.5000 0.1470
C1 C 0.1914 0.5000 0.8821
C2 C 0.2768 0.5000 0.6777
C3 C 0.3471 0.0000 0.7106
C4 C 0.3549 0.0000 0.2166
C5 C 0.4197 0.0000 0.4996
C6 C 0.4208 0.0000 0.9874

(10)
# PBE-GGA B7C5, optimized geometry
# - Formation enthalpy at 0 K: 0.40 eV/atom
# - Energy above the lowest structure with this stoichiometry: 233.0 meV/atom
# - Raw total energy: -88.09 eV per cell
data_B7C5
_chemical_formula_sum 'B7 C5'
_symmetry_space_group_name_H-M 'P m m 2'
_symmetry_Int_Tables_number 25
_symmetry_space_group_name_Hall 'P 2 -2'
_cell_length_a 2.4280
_cell_length_b 7.6435
_cell_length_c 4.4257
_cell_angle_alpha 90.00
_cell_angle_beta 90.00
_cell_angle_gamma 90.00
loop_
_atom_site_label
_atom_site_type_symbol
_atom_site_fract_x
_atom_site_fract_y
_atom_site_fract_z
B1 B 0.0000 0.0000 0.0000
B2 B 0.0000 0.1798 0.7291
B3 B 0.0000 0.5000 0.7356
B4 B 0.5000 0.1710 0.4274
B5 B 0.5000 0.5000 0.4236
C1 C 0.0000 0.3297 0.9927
C2 C 0.5000 0.0000 0.2263
C3 C 0.5000 0.3368 0.1847

(11)
# PBE-GGA B3C2, optimized geometry
# - Formation enthalpy at 0 K: 0.48 eV/atom
# - Energy above the lowest structure with this stoichiometry: 271.3 meV/atom
# - Raw total energy: -216.41 eV per cell
data_B3C2
_chemical_formula_sum 'B18 C12'
_symmetry_space_group_name_H-M 'R 3 m'
_symmetry_Int_Tables_number 160
_symmetry_space_group_name_Hall 'R 3 -2"'
_cell_length_a 2.6117
_cell_length_b 2.6117
_cell_length_c 35.2974
_cell_angle_alpha 90.00
_cell_angle_beta 90.00
_cell_angle_gamma 120.00
loop_
_atom_site_label
_atom_site_type_symbol
_atom_site_fract_x
_atom_site_fract_y
_atom_site_fract_z
B1 B 0.0000 0.0000 0.0000
B2 B 0.0000 0.0000 0.0476
B3 B 0.0000 0.0000 0.1959
B4 B 0.0000 0.0000 0.4105
B5 B 0.0000 0.0000 0.6384
B6 B 0.0000 0.0000 0.8043
C1 C 0.0000 0.0000 0.2476
C2 C 0.0000 0.0000 0.4541
C3 C 0.0000 0.0000 0.5926
C4 C 0.0000 0.0000 0.8518

(12)
# PBE-GGA B9C, optimized geometry
# - Formation enthalpy at 0 K: 0.24 eV/atom
# - Energy above the lowest structure with this stoichiometry: 0.0 meV/atom
# - Raw total energy: -133.92 eV per cell
data_B9C
_chemical_formula_sum 'B18 C2'
_symmetry_space_group_name_H-M 'I m m 2'
_symmetry_Int_Tables_number 44
_symmetry_space_group_name_Hall 'I 2 -2'
_cell_length_a 2.7963
_cell_length_b 10.4511
_cell_length_c 4.9744
_cell_angle_alpha 90.00
_cell_angle_beta 90.00
_cell_angle_gamma 90.00
loop_
_atom_site_label
_atom_site_type_symbol
_atom_site_fract_x
_atom_site_fract_y
_atom_site_fract_z
B1 B 0.0000 0.0000 0.0000
B2 B 0.0000 0.0818 0.3375
B3 B 0.0000 0.2063 0.5323
B4 B 0.0000 0.2242 0.1720
B5 B 0.0000 0.3899 0.1139
C1 C 0.0000 0.5000 0.3416